{"formula": "SbPtBr", "functional": "PBE", "state": "relaxed", "lattice_angstrom": [[-3.539, -5.389, -1.147], [-1.718, -3.542, -5.233], [4.612, 3.105, 3.459]], "species": ["Sb", "Br", "Pt"], "frac_coords": [[0.707, 0.707, 0.000], [0.974, 0.974, 0.000], [0.319, 0.319, 0.000]], "e_tot_ev_per_cell": -12.0, "formation_energy_uncorrected_kj_per_mol_atoms": -5, "polymorph_energy_mev_per_atom": 285.7}



{"formula": "SbPtBr2", "functional": "PBE", "state": "relaxed", "lattice_angstrom": [[-0.437, 1.550, -3.906], [-0.363, -4.517, -1.752], [-4.804, -0.616, 0.293]], "species": ["Br", "Br", "Pt", "Sb"], "frac_coords": [[0.000, 0.470, 0.470], [0.000, 0.030, 0.030], [0.500, 0.250, 0.250], [0.500, 0.750, 0.750]], "e_tot_ev_per_cell": -12.7, "formation_energy_uncorrected_kj_per_mol_atoms": 21, "polymorph_energy_mev_per_atom": 593.1}



{"formula": "SbPtBr2", "functional": "PBE", "state": "relaxed", "lattice_angstrom": [[-5.062, -0.670, -1.348], [2.477, -1.289, -4.482], [0.155, -3.196, 1.005]], "species": ["Sb", "Br", "Br", "Pt"], "frac_coords": [[0.000, 0.500, 0.500], [0.000, 0.000, 0.000], [0.500, 0.500, 0.000], [0.500, 0.000, 0.500]], "e_tot_ev_per_cell": -11.1, "formation_energy_uncorrected_kj_per_mol_atoms": 59, "polymorph_energy_mev_per_atom": 990.4}



{"formula": "SbPtBr", "functional": "PBE", "state": "relaxed", "lattice_angstrom": [[4.718, 0.000, 0.000], [2.359, 4.086, 0.000], [2.359, 1.362, 3.852]], "species": ["Sb", "Br", "Pt"], "frac_coords": [[0.000, 0.000, 0.000], [0.500, 0.500, 0.500], [0.250, 0.250, 0.250]], "e_tot_ev_per_cell": -11.5, "formation_energy_uncorrected_kj_per_mol_atoms": 12, "polymorph_energy_mev_per_atom": 456.4}



{"formula": "SbPtBr2", "functional": "PBE", "state": "relaxed", "lattice_angstrom": [[-5.298, -4.785, -4.329], [-0.255, -6.854, -4.761], [2.515, 4.223, 6.749]], "species": ["Br", "Br", "Sb", "Pt"], "frac_coords": [[0.902, 0.902, 0.000], [0.598, 0.598, 0.000], [0.250, 0.750, 0.500], [0.750, 0.250, 0.500]], "e_tot_ev_per_cell": -13.4, "formation_energy_uncorrected_kj_per_mol_atoms": 2, "polymorph_energy_mev_per_atom": 401.2}



{"formula": "SbPtBr2", "functional": "PBE", "state": "relaxed", "lattice_angstrom": [[3.506, 0.000, 0.000], [0.000, 3.633, 0.000], [0.000, 0.000, 7.096]], "species": ["Sb", "Br", "Br", "Pt"], "frac_coords": [[0.500, 0.500, 0.750], [0.000, 0.000, 0.020], [0.000, 0.000, 0.480], [0.500, 0.500, 0.250]], "e_tot_ev_per_cell": -11.2, "formation_energy_uncorrected_kj_per_mol_atoms": 56, "polymorph_energy_mev_per_atom": 955.9}



{"formula": "SbPtBr2", "functional": "PBE", "state": "relaxed", "lattice_angstrom": [[-8.678, -0.296, 1.335], [-7.399, -3.505, 3.185], [-7.243, -0.021, 4.971]], "species": ["Br", "Br", "Pt", "Sb"], "frac_coords": [[0.218, 0.218, 0.218], [0.022, 0.022, 0.022], [0.490, 0.490, 0.490], [0.770, 0.770, 0.770]], "e_tot_ev_per_cell": -14.9, "formation_energy_uncorrected_kj_per_mol_atoms": -35, "polymorph_energy_mev_per_atom": 19.3}



{"formula": "SbPtBr2", "functional": "PBE", "state": "relaxed", "lattice_angstrom": [[5.014, 0.000, 0.000], [0.000, 5.014, 0.000], [-2.507, -2.507, 3.545]], "species": ["Br", "Br", "Pt", "Sb"], "frac_coords": [[0.000, 0.000, 0.000], [0.250, 0.750, 0.500], [0.500, 0.500, 0.000], [0.750, 0.250, 0.500]], "e_tot_ev_per_cell": -12.1, "formation_energy_uncorrected_kj_per_mol_atoms": 35, "polymorph_energy_mev_per_atom": 739.2}



Q: Number 4 is which compound?
A: SbPtBr